## Tm3ThTl3 (GGA-PBE)

Data for a relaxed Tm3ThTl3 crystal.

Computed properties:
Size of the total moment ... 0.00 μB/f.u.
Energy of formation from the pure elements ... -43 meV per atom
Space group ... P6_3/m, No. 176

```
Tm3ThTl3
1.0
-4.037 0.137 3.911
4.378 -6.420 4.744
1.778 8.798 1.527
Tl Th Tm
6 2 6
direct
0.750 0.040 0.801
0.250 0.960 0.199
0.750 0.761 0.960
0.250 0.239 0.040
0.250 0.801 0.761
0.750 0.199 0.239
0.750 0.333 0.667
0.250 0.667 0.333
0.750 0.639 0.544
0.750 0.456 0.096
0.250 0.544 0.904
0.250 0.361 0.456
0.750 0.904 0.361
0.250 0.096 0.639
```